Record 1
# GaP2Rh2 GGA-PBEsol optimized geometry
# DFT total energy in eV/f.u.: -32.13
# Volume in Å³/atom: 15.4
data_GaP2Rh2
_cell_length_a 3.674
_cell_length_b 3.674
_cell_length_c 11.409
_cell_angle_alpha 90.00
_cell_angle_beta 90.00
_cell_angle_gamma 90.00
_space_group_name_H-M_alt 'I 4/m m m'
_space_group_IT_number 139
_space_group_name_Hall '-I 4 2'
loop_
_atom_site_label
_atom_site_type_symbol
_atom_site_fract_x
_atom_site_fract_y
_atom_site_fract_z
_atom_site_occupancy
Ga1 Ga 0.000 0.000 0.000 1
P1 P 0.000 0.500 0.250 1
Rh1 Rh 0.000 0.000 0.375 1



Record 2
# GaSn2PRu GGA-PBEsol optimized geometry
# DFT total energy in eV/f.u.: -22.23
# Volume in Å³/atom: 23.4
data_GaSn2PRu
_cell_length_a 5.074
_cell_length_b 5.074
_cell_length_c 4.544
_cell_angle_alpha 90.00
_cell_angle_beta 90.00
_cell_angle_gamma 90.00
_space_group_name_H-M_alt 'P 4/m m m'
_space_group_IT_number 123
_space_group_name_Hall '-P 4 2'
loop_
_atom_site_label
_atom_site_type_symbol
_atom_site_fract_x
_atom_site_fract_y
_atom_site_fract_z
_atom_site_occupancy
Ga1 Ga 0.000 0.000 0.000 1
Sn1 Sn 0.000 0.500 0.000 1
P1 P 0.500 0.500 0.500 1
Ru1 Ru 0.000 0.000 0.500 1



Record 3
# GaPS2 GGA-PBEsol optimized geometry
# Formation energy without anion corrections in eV/atom: 0.062
# DFT total energy in eV/f.u.: -17.65
# Volume in Å³/atom: 17.5
data_GaPS2
_cell_length_a 6.480
_cell_length_b 6.480
_cell_length_c 6.678
_cell_angle_alpha 90.00
_cell_angle_beta 90.00
_cell_angle_gamma 90.00
_space_group_name_H-M_alt 'I -4 2 d'
_space_group_IT_number 122
_space_group_name_Hall 'I -4 2bw'
loop_
_atom_site_label
_atom_site_type_symbol
_atom_site_fract_x
_atom_site_fract_y
_atom_site_fract_z
_atom_site_occupancy
Ga1 Ga 0.000 0.000 0.000 1
P1 P 0.000 0.000 0.500 1
S1 S 0.249 0.250 0.125 1